# 1
Compound: LaTmScCd
Source: Alexandria
Functional: PBE-GGA
Structure: relaxed

```
4
Lattice="5.427 0.000 0.000 2.713 4.700 0.000 2.713 1.567 4.431" Properties=species:S:1:pos:R:3 pbc="T T T"
Sc 2.713 1.567 1.108
Cd 8.140 4.700 3.323
Tm 5.427 3.133 2.215
La 0.000 0.000 0.000
```

Results
Calculated volume (Å³ per cell): 113.0
Symmetry: F-43m (216)


# 2
Compound: LaYScCd
Source: Alexandria
Functional: PBE-GGA
Structure: relaxed

```
4
Lattice="3.607 0.000 0.000 0.000 3.607 0.000 0.000 0.000 8.755" Properties=species:S:1:pos:R:3 pbc="T T T"
La 0.000 0.000 0.770
Y 1.803 1.803 6.878
Sc 1.803 1.803 3.153
Cd 0.000 0.000 4.824
```

Results
Calculated volume (Å³ per cell): 113.9
Symmetry: P4mm (99)


# 3
Compound: LaYScCd2
Source: Alexandria
Functional: PBE-GGA
Structure: relaxed

```
5
Lattice="5.446 0.000 0.000 0.000 5.282 0.000 0.000 0.000 5.446" Properties=species:S:1:pos:R:3 pbc="T T T"
Y 2.723 2.641 2.723
Sc 0.000 0.000 0.000
Cd 0.000 0.000 2.723
Cd 2.723 0.000 0.000
La 0.000 2.641 0.000
```

Results
Calculated volume (Å³ per cell): 156.7
Symmetry: P4/mmm (123)


no.,E_form (eV per atom)
1,-0.0446
2,-0.1235
3,0.4465